1.
Below is a geometry-optimized ReAu2Se structure, with properties calculated at the PBE level.

Summary:
Uncorrected energy   -5.124 eV/atom
SG   Cm (8)

```
4
Lattice="4.1407 -1.5083 0.0000 4.1407 1.5083 0.0000 -0.8856 0.0000 5.8218" Properties=species:S:1:pos:R:3 pbc="T T T"
Re 0.0000 0.0000 0.0000
Au 1.5110 0.0000 4.1706
Au 3.8013 0.0000 2.6316
Se 5.8948 0.0000 0.9019
```

***

2.
Below is a geometry-optimized Rb2LiAu structure, with properties calculated at the PBE level.

Summary:
Uncorrected energy   -1.762 eV/atom
SG   Fm-3m (225)
Energy relative to the lowest polymorph listed for this composition   126 meV per atom
Formation energy from the elements   19 meV per atom

```
4
Lattice="0.0000 4.3155 4.3155 4.3155 0.0000 4.3155 4.3155 4.3155 0.0000" Properties=species:S:1:pos:R:3 pbc="T T T"
Rb 2.1577 2.1577 2.1577
Rb 6.4732 6.4732 6.4732
Li 0.0000 0.0000 0.0000
Au 4.3155 4.3155 4.3155
```